Below is a geometry-optimized Li3V4O7F5 structure, with properties calculated at the GGA-PBEsol level.

Summary:
DFT total energy, eV/cell: -139.48
Raw formation energy, meV/atom: -2561

```
data_Li3V4O7F5
_cell_length_a 5.0372
_cell_length_b 5.2242
_cell_length_c 8.6380
_cell_angle_alpha 73.39
_cell_angle_beta 89.15
_cell_angle_gamma 62.76
_symmetry_space_group_name_H-M 'P 1'
_symmetry_Int_Tables_number 1
_symmetry_space_group_name_Hall 'P 1'
loop_
_atom_site_label
_atom_site_type_symbol
_atom_site_fract_x
_atom_site_fract_y
_atom_site_fract_z
Li1 Li 0.5279 0.9221 0.8426
Li2 Li 0.0757 0.8539 0.3528
Li3 Li 0.2905 0.4024 0.1018
V1 V 0.5248 0.9992 0.4984
V2 V 0.9260 0.0379 0.0022
V3 V 0.2117 0.5824 0.7410
V4 V 0.7625 0.4835 0.2381
O1 O 0.9401 0.7456 0.1816
O2 O 0.4240 0.7647 0.6780
O3 O 0.5536 0.2582 0.9362
O4 O 0.0041 0.2386 0.1226
O5 O 0.0028 0.7677 0.8786
O6 O 0.9267 0.7695 0.5736
O7 O 0.5895 0.2498 0.3227
F1 F 0.4756 0.2561 0.6348
F2 F 0.0782 0.2448 0.4270
F3 F 0.4456 0.7380 0.0554
F4 F 0.0879 0.2414 0.8251
F5 F 0.4954 0.7587 0.3685
```